Entry from the Alexandria database: a relaxed structure of AgHPb3 (PBE).

a b c (Å): 5.517 5.517 5.517
angles (deg): 90.00 90.00 90.00
Space group Pm-3m (No. 221)
Symmetry-distinct sites (fractional):
1 Ag 0.000 0.000 0.000
2 H 0.500 0.500 0.500
3 Pb 0.000 0.000 0.500

Results
* final energy: -13.1 eV for the cell shown
* magnetic moment: 0.00 μB per formula unit
* offset from the most stable computed form: 0.570 eV/atom